Material: CeNdThN3
Method: DFT, PBE
State: relaxed

Computed properties:
calculated volume = 102.75 Å³/f.u.
formation energy without anion corrections = -1.35 eV/atom
total magnetization = 0.00 μB per formula unit

```
12
Lattice="3.576 0.000 0.000 0.000 6.155 0.544 0.000 -2.193 9.143" Properties=species:S:1:pos:R:3 pbc="T T T"
Ce 0.894 -0.374 5.887
Ce 2.682 4.335 3.800
N 0.894 1.025 7.953
N 0.894 4.090 8.300
N 2.682 -0.128 1.388
N 0.894 3.655 5.148
N 2.682 0.307 4.539
N 2.682 2.937 1.735
Nd 2.682 2.681 6.887
Nd 0.894 1.281 2.800
Th 0.894 4.568 0.900
Th 2.682 -0.606 8.787
```

---

Material: CeNdTiN3
Method: DFT, PBE
State: relaxed

Computed properties:
calculated volume = 102.07 Å³/f.u.
formation energy without anion corrections = -1.27 eV/atom
total magnetization = 0.61 μB per formula unit

```
12
Lattice="-0.378 1.628 3.175 6.870 -1.944 1.815 1.944 6.777 -3.244" Properties=species:S:1:pos:R:3 pbc="T T T"
Nd 1.293 1.188 0.559
Nd 7.142 5.274 1.188
N 6.105 0.532 3.496
N 2.690 1.284 2.704
N 2.331 5.930 -1.749
N 6.615 2.106 0.722
N 5.745 5.179 -0.957
N 1.821 4.356 1.025
Ce 4.548 0.336 1.383
Ce 3.888 6.126 0.364
Ti 1.767 4.240 -0.950
Ti 6.668 2.222 2.697
```